Crystalline TlSbHBr at its relaxed geometry, computed with PBE.

Computed properties:
**Symmetry**: Cm, No. 8
**ΔE to the lowest computed polymorph**: 0.0435 eV/atom
**Total magnetic moment**: 0.00 μB per formula unit
**Calculated total energy**: -2.94 eV per atom

abc: 5.900 6.445 7.379
angles: 90.00 120.52 90.00
Sites, in units of the cell vectors:
Tl 0.457 0.000 0.704
Tl 0.457 0.500 0.204
Sb 0.412 0.000 0.225
Sb 0.412 0.500 0.725
H 0.235 0.000 0.949
H 0.235 0.500 0.449
Br 0.896 0.000 0.207
Br 0.896 0.500 0.707

Crystalline TlSbHBr at its relaxed geometry, computed with PBE.

Computed properties:
**Symmetry**: Cm, No. 8
**ΔE to the lowest computed polymorph**: 0.1826 eV/atom
**Total magnetic moment**: 0.00 μB per formula unit
**Calculated total energy**: -2.80 eV per atom

abc: 8.191 4.843 8.301
angles: 90.00 113.54 90.00
Sites, in units of the cell vectors:
Tl 0.507 0.000 0.129
Tl 0.507 0.500 0.629
Sb 0.612 0.000 0.834
Sb 0.612 0.500 0.334
H 0.231 0.000 0.747
H 0.231 0.500 0.247
Br 0.071 0.000 0.786
Br 0.071 0.500 0.286

Crystalline TlSbHBr at its relaxed geometry, computed with PBE.

Computed properties:
**Symmetry**: Cm, No. 8
**ΔE to the lowest computed polymorph**: 0.0000 eV/atom
**Total magnetic moment**: 0.00 μB per formula unit
**Calculated total energy**: -2.98 eV per atom

abc: 3.513 3.513 18.042
angles: 90.00 101.07 90.00
Sites, in units of the cell vectors:
Tl 0.507 0.000 0.861
Tl 0.507 0.500 0.361
Sb 0.215 0.000 0.575
Sb 0.215 0.500 0.075
H 0.117 0.000 0.475
H 0.117 0.500 0.975
Br 0.903 0.000 0.256
Br 0.903 0.500 0.756

Crystalline TlSbHBr at its relaxed geometry, computed with PBE.

Computed properties:
**Symmetry**: Cm, No. 8
**ΔE to the lowest computed polymorph**: 0.1353 eV/atom
**Total magnetic moment**: 0.00 μB per formula unit
**Calculated total energy**: -2.84 eV per atom

abc: 9.876 4.809 4.842
angles: 90.00 101.51 90.00
Sites, in units of the cell vectors:
Tl 0.325 0.000 0.287
Tl 0.325 0.500 0.787
Sb 0.587 0.000 0.899
Sb 0.587 0.500 0.399
H 0.870 0.000 0.832
H 0.870 0.500 0.332
Br 0.968 0.000 0.643
Br 0.968 0.500 0.143

Crystalline TlSbHBr at its relaxed geometry, computed with PBE.

Computed properties:
**Symmetry**: P1, No. 1
**ΔE to the lowest computed polymorph**: 0.0393 eV/atom
**Total magnetic moment**: 0.00 μB per formula unit
**Calculated total energy**: -2.94 eV per atom

abc: 4.481 5.640 5.675
angles: 117.22 99.05 102.35
Sites, in units of the cell vectors:
Tl 0.837 0.462 0.571
Sb 0.276 0.051 0.663
H 0.633 0.060 0.849
Br 0.339 0.592 0.167

Crystalline Y2SbHBr at its relaxed geometry, computed with PBE.

Computed properties:
**Symmetry**: P4/mmm, No. 123
**Total magnetic moment**: 0.81 μB per formula unit
**Calculated total energy**: -4.87 eV per atom

abc: 5.058 4.391 5.058
angles: 90.00 90.00 90.00
Sites, in units of the cell vectors:
Y 0.000 0.000 0.500
Y 0.500 0.000 0.000
Sb 0.500 0.500 0.500
Br 0.000 0.500 0.000
H 0.000 0.000 0.000

Crystalline ScH2Br at its relaxed geometry, computed with PBE.

Computed properties:
**Symmetry**: R-3m, No. 166
**ΔE to the lowest computed polymorph**: 0.0000 eV/atom
**Total magnetic moment**: 0.00 μB per formula unit
**Calculated total energy**: -4.41 eV per atom

abc: 3.467 3.467 5.166
angles: 70.40 70.40 60.00
Sites, in units of the cell vectors:
Sc 0.000 0.000 0.000
H 0.691 0.691 0.926
H 0.309 0.309 0.074
Br 0.500 0.500 0.500

Crystalline Sc2HBr at its relaxed geometry, computed with PBE.

Computed properties:
**Symmetry**: Fm-3m, No. 225
**ΔE to the lowest computed polymorph**: 0.6640 eV/atom
**Total magnetic moment**: 0.00 μB per formula unit
**Calculated total energy**: -4.45 eV per atom

abc: 4.553 4.553 4.553
angles: 60.00 60.00 60.00
Sites, in units of the cell vectors:
Sc 0.250 0.250 0.250
Sc 0.750 0.750 0.750
H 0.000 0.000 0.000
Br 0.500 0.500 0.500

Crystalline Sc3HBr at its relaxed geometry, computed with PBE.

Computed properties:
**Symmetry**: Pm-3m, No. 221
**ΔE to the lowest computed polymorph**: 0.0000 eV/atom
**Total magnetic moment**: 0.00 μB per formula unit
**Calculated total energy**: -4.90 eV per atom

abc: 4.507 4.507 4.507
angles: 90.00 90.00 90.00
Sites, in units of the cell vectors:
Sc 0.000 0.500 0.000
Sc 0.000 0.000 0.500
Sc 0.500 0.000 0.000
H 0.000 0.000 0.000
Br 0.500 0.500 0.500

Crystalline Sc2HBr at its relaxed geometry, computed with PBE.

Computed properties:
**Symmetry**: I-42d, No. 122
**ΔE to the lowest computed polymorph**: 0.1961 eV/atom
**Total magnetic moment**: 0.00 μB per formula unit
**Calculated total energy**: -4.92 eV per atom

abc: 6.476 6.476 5.615
angles: 54.78 54.78 90.00
Sites, in units of the cell vectors:
Sc 0.521 0.125 0.250
Sc 0.229 0.625 0.250
Sc 0.375 0.479 0.750
Sc 0.875 0.771 0.750
H 0.500 0.500 0.000
H 0.250 0.750 0.500
Br 0.000 0.000 0.000
Br 0.750 0.250 0.500

Crystalline Sc2HBr at its relaxed geometry, computed with PBE.

Computed properties:
**Symmetry**: R-3m, No. 166
**ΔE to the lowest computed polymorph**: 0.2138 eV/atom
**Total magnetic moment**: 0.00 μB per formula unit
**Calculated total energy**: -4.90 eV per atom

abc: 7.818 7.818 7.818
angles: 26.06 26.06 26.06
Sites, in units of the cell vectors:
Sc 0.884 0.884 0.884
Sc 0.116 0.116 0.116
H 0.500 0.500 0.500
Br 0.000 0.000 0.000

Crystalline ScH2Br3 at its relaxed geometry, computed with PBE.

Computed properties:
**Symmetry**: P6_3/mmc, No. 194
**Total magnetic moment**: 0.00 μB per formula unit
**Calculated total energy**: -4.14 eV per atom

abc: 7.684 7.684 6.666
angles: 90.00 90.00 120.00
Sites, in units of the cell vectors:
Sc 0.000 0.000 0.000
Sc 0.000 0.000 0.500
H 0.333 0.667 0.806
H 0.667 0.333 0.306
H 0.667 0.333 0.194
H 0.333 0.667 0.694
Br 0.687 0.843 0.250
Br 0.157 0.313 0.250
Br 0.157 0.843 0.250
Br 0.313 0.157 0.750
Br 0.843 0.687 0.750
Br 0.843 0.157 0.750

Crystalline ScHBr3 at its relaxed geometry, computed with PBE.

Computed properties:
**Symmetry**: Pm-3m, No. 221
**ΔE to the lowest computed polymorph**: 0.7648 eV/atom
**Total magnetic moment**: 0.66 μB per formula unit
**Calculated total energy**: -3.04 eV per atom

abc: 4.680 4.680 4.680
angles: 90.00 90.00 90.00
Sites, in units of the cell vectors:
Sc 0.500 0.500 0.500
H 0.000 0.000 0.000
Br 0.000 0.500 0.000
Br 0.000 0.000 0.500
Br 0.500 0.000 0.000

Crystalline ScH3Br at its relaxed geometry, computed with PBE.

Computed properties:
**Symmetry**: Pm-3m, No. 221
**ΔE to the lowest computed polymorph**: 0.9668 eV/atom
**Total magnetic moment**: 0.00 μB per formula unit
**Calculated total energy**: -2.68 eV per atom

abc: 3.937 3.937 3.937
angles: 90.00 90.00 90.00
Sites, in units of the cell vectors:
Sc 0.500 0.500 0.500
H 0.000 0.500 0.000
H 0.000 0.000 0.500
H 0.500 0.000 0.000
Br 0.000 0.000 0.000

Crystalline Sc2HBr at its relaxed geometry, computed with PBE.

Computed properties:
**Symmetry**: Pmn2_1, No. 31
**ΔE to the lowest computed polymorph**: 0.0000 eV/atom
**Total magnetic moment**: 0.00 μB per formula unit
**Calculated total energy**: -5.12 eV per atom

abc: 3.557 4.229 9.911
angles: 90.00 90.00 90.00
Sites, in units of the cell vectors:
Sc 0.701 0.544 0.174
Sc 0.701 0.569 0.858
Sc 0.201 0.069 0.358
Sc 0.201 0.044 0.042
H 0.201 0.772 0.210
H 0.701 0.272 0.006
Br 0.201 0.048 0.745
Br 0.701 0.547 0.471

Crystalline ScHBr3 at its relaxed geometry, computed with PBE.

Computed properties:
**Symmetry**: Pm-3m, No. 221
**ΔE to the lowest computed polymorph**: 0.0738 eV/atom
**Total magnetic moment**: 1.00 μB per formula unit
**Calculated total energy**: -3.73 eV per atom

abc: 5.296 5.296 5.296
angles: 90.00 90.00 90.00
Sites, in units of the cell vectors:
Sc 0.000 0.000 0.000
H 0.500 0.500 0.500
Br 0.000 0.500 0.000
Br 0.000 0.000 0.500
Br 0.500 0.000 0.000

Crystalline Sc2H2Br at its relaxed geometry, computed with PBE.

Computed properties:
**Symmetry**: I4/mmm, No. 139
**ΔE to the lowest computed polymorph**: 0.0000 eV/atom
**Total magnetic moment**: 0.58 μB per formula unit
**Calculated total energy**: -4.82 eV per atom

abc: 3.337 3.337 6.787
angles: 75.77 75.77 90.00
Sites, in units of the cell vectors:
Sc 0.342 0.342 0.316
Sc 0.658 0.658 0.684
H 0.750 0.250 0.500
H 0.250 0.750 0.500
Br 0.000 0.000 0.000

Crystalline ScH2Br at its relaxed geometry, computed with PBE.

Computed properties:
**Symmetry**: I4_1/amd, No. 141
**ΔE to the lowest computed polymorph**: 0.1579 eV/atom
**Total magnetic moment**: 0.00 μB per formula unit
**Calculated total energy**: -4.25 eV per atom

abc: 4.278 4.278 6.923
angles: 72.00 72.00 90.00
Sites, in units of the cell vectors:
Sc 0.500 0.500 0.000
Sc 0.250 0.750 0.500
H 0.375 0.125 0.250
H 0.375 0.625 0.250
H 0.375 0.625 0.750
H 0.875 0.625 0.750
Br 0.000 0.000 0.000
Br 0.750 0.250 0.500

Crystalline ScHBr3 at its relaxed geometry, computed with PBE.

Computed properties:
**Symmetry**: C2, No. 5
**ΔE to the lowest computed polymorph**: 0.0000 eV/atom
**Total magnetic moment**: 0.99 μB per formula unit
**Calculated total energy**: -3.81 eV per atom

abc: 3.901 7.582 10.919
angles: 74.65 89.99 75.08
Sites, in units of the cell vectors:
Sc 0.094 0.381 0.708
Sc 0.595 0.379 0.351
H 0.816 0.936 0.160
H 0.871 0.826 0.899
Br 0.215 0.140 0.334
Br 0.493 0.584 0.135
Br 0.196 0.177 0.924
Br 0.696 0.177 0.624
Br 0.474 0.621 0.725
Br 0.993 0.583 0.435

Crystalline Sc2H2Br at its relaxed geometry, computed with PBE.

Computed properties:
**Symmetry**: P4/mbm, No. 127
**ΔE to the lowest computed polymorph**: 0.3676 eV/atom
**Total magnetic moment**: 0.28 μB per formula unit
**Calculated total energy**: -4.45 eV per atom

abc: 6.946 6.946 3.168
angles: 90.00 90.00 90.00
Sites, in units of the cell vectors:
Sc 0.356 0.856 0.000
Sc 0.856 0.644 0.000
Sc 0.644 0.144 0.000
Sc 0.144 0.356 0.000
H 0.112 0.612 0.500
H 0.612 0.888 0.500
H 0.888 0.388 0.500
H 0.388 0.112 0.500
Br 0.000 0.000 0.000
Br 0.500 0.500 0.000

Crystalline ScH2Br at its relaxed geometry, computed with PBE.

Computed properties:
**Symmetry**: Fm-3m, No. 225
**ΔE to the lowest computed polymorph**: 0.7333 eV/atom
**Total magnetic moment**: 0.00 μB per formula unit
**Calculated total energy**: -3.68 eV per atom

abc: 4.150 4.150 4.150
angles: 60.00 60.00 60.00
Sites, in units of the cell vectors:
Sc 0.000 0.000 0.000
H 0.250 0.250 0.250
H 0.750 0.750 0.750
Br 0.500 0.500 0.500

Crystalline ScH3Br at its relaxed geometry, computed with PBE.

Computed properties:
**Symmetry**: Pm-3m, No. 221
**ΔE to the lowest computed polymorph**: 0.0000 eV/atom
**Total magnetic moment**: 0.00 μB per formula unit
**Calculated total energy**: -3.64 eV per atom

abc: 3.919 3.919 3.919
angles: 90.00 90.00 90.00
Sites, in units of the cell vectors:
Sc 0.000 0.000 0.000
H 0.000 0.500 0.000
H 0.000 0.000 0.500
H 0.500 0.000 0.000
Br 0.500 0.500 0.500

Crystalline ScH4Br4 at its relaxed geometry, computed with PBE.

Computed properties:
**Symmetry**: I4/m, No. 87
**Total magnetic moment**: 0.00 μB per formula unit
**Calculated total energy**: -3.01 eV per atom

abc: 3.809 7.192 7.192
angles: 85.98 74.65 74.65
Sites, in units of the cell vectors:
Sc 0.500 0.500 0.000
H 0.453 0.326 0.268
H 0.547 0.674 0.732
H 0.279 0.768 0.174
H 0.721 0.232 0.826
Br 0.233 0.217 0.816
Br 0.767 0.783 0.184
Br 0.950 0.316 0.283
Br 0.050 0.684 0.717

Crystalline Sc2HBr3 at its relaxed geometry, computed with PBE.

Computed properties:
**Symmetry**: C2/m, No. 12
**Total magnetic moment**: 1.01 μB per formula unit
**Calculated total energy**: -4.82 eV per atom

abc: 3.619 9.072 10.297
angles: 109.87 90.00 101.51
Sites, in units of the cell vectors:
Sc 0.077 0.155 0.756
Sc 0.923 0.845 0.244
Sc 0.423 0.847 0.528
Sc 0.577 0.153 0.472
H 0.543 0.087 0.644
H 0.457 0.913 0.356
Br 0.922 0.844 0.731
Br 0.078 0.156 0.269
Br 0.365 0.729 0.045
Br 0.635 0.271 0.955
Br 0.189 0.377 0.634
Br 0.811 0.623 0.366

Crystalline ScHSeBr2 at its relaxed geometry, computed with PBE.

Computed properties:
**Symmetry**: P4/mmm, No. 123
**ΔE to the lowest computed polymorph**: 0.0000 eV/atom
**Total magnetic moment**: 1.98 μB per formula unit
**Calculated total energy**: -3.73 eV per atom

abc: 5.334 5.334 5.237
angles: 90.00 90.00 90.00
Sites, in units of the cell vectors:
Sc 0.000 0.000 0.000
H 0.500 0.500 0.500
Se 0.000 0.000 0.500
Br 0.000 0.500 0.000
Br 0.500 0.000 0.000

Crystalline ScHSeBr2 at its relaxed geometry, computed with PBE.

Computed properties:
**Symmetry**: P4/mmm, No. 123
**ΔE to the lowest computed polymorph**: 0.3054 eV/atom
**Total magnetic moment**: 0.38 μB per formula unit
**Calculated total energy**: -3.42 eV per atom

abc: 5.205 5.205 3.614
angles: 90.00 90.00 90.00
Sites, in units of the cell vectors:
Sc 0.500 0.500 0.500
H 0.000 0.000 0.000
Se 0.000 0.000 0.500
Br 0.000 0.500 0.000
Br 0.500 0.000 0.000